--- P ---
# TcIrPt2 (PBEsol, optimized geometry)
# **Total magnetic moment**: 0.000 μB/atom
data_TcIrPt2
_symmetry_space_group_name_H-M 'C 1 m 1'
_symmetry_Int_Tables_number 8
_symmetry_space_group_name_Hall 'C -2y'
_cell_length_a 9.109
_cell_length_b 2.707
_cell_length_c 4.734
_cell_angle_alpha 90.00
_cell_angle_beta 99.66
_cell_angle_gamma 90.00
loop_
_atom_site_label
_atom_site_fract_x
_atom_site_fract_y
_atom_site_fract_z
Tc1 0.000 0.000 0.000
Ir1 0.243 0.500 0.230
Pt1 0.250 0.000 0.744
Pt2 0.495 0.000 0.491



--- Q ---
# TcIrPt2 (PBEsol, optimized geometry)
# **Total magnetic moment**: 0.000 μB/atom
data_TcIrPt2
_symmetry_space_group_name_H-M 'P 4/m m m'
_symmetry_Int_Tables_number 123
_symmetry_space_group_name_Hall '-P 4 2'
_cell_length_a 2.709
_cell_length_b 2.709
_cell_length_c 7.844
_cell_angle_alpha 90.00
_cell_angle_beta 90.00
_cell_angle_gamma 90.00
loop_
_atom_site_label
_atom_site_fract_x
_atom_site_fract_y
_atom_site_fract_z
Tc1 0.000 0.000 0.000
Ir1 0.000 0.000 0.500
Pt1 0.500 0.500 0.244



Which of them is the most stable, and which is the least stable? P and Q, in that order.